(1)
A relaxed TlV2AgCl8 crystal, computed with PBE.

The calculation puts the electronic total energy at -4.19 eV/atom. The space group is P-3, No. 147. The calculation puts the raw formation energy at -1161 kJ/mol of formula units.

Geometry as POSCAR:
```
TlV2AgCl8
1.0
6.6166 0.0000 0.0000
-3.3083 5.7302 0.0000
0.0000 0.0000 9.3990
Tl V Ag Cl
1 2 1 8
Direct
0.0000 0.0000 0.0000
0.3333 0.6667 0.7516
0.6667 0.3333 0.2484
0.0000 0.0000 0.5000
0.0180 0.3324 0.6851
0.3144 0.9820 0.6851
0.3324 0.3144 0.3149
0.3333 0.6667 0.9880
0.6667 0.3333 0.0120
0.6676 0.6856 0.6851
0.6856 0.0180 0.3149
0.9820 0.6676 0.3149
```



(2)
A relaxed LiPr3Tl2 crystal, computed with PBE.

The calculation puts the electronic total energy at -3.76 eV/atom. The formation energy is -0.267 eV per atom. The value obtained for the distance to the lowest polymorph of the same formula is 0.0 meV/atom. The space group is P-3m1, No. 164.

Geometry as POSCAR:
```
LiPr3Tl2
1.0
5.5197 0.0000 0.0000
-2.7599 4.7802 0.0000
0.0000 0.0000 13.5387
Li Pr Tl
2 6 4
Direct
0.3333 0.6667 0.1701
0.6667 0.3333 0.8299
0.0000 0.0000 0.2507
0.0000 0.0000 0.7493
0.3333 0.6667 0.4178
0.3333 0.6667 0.9195
0.6667 0.3333 0.0805
0.6667 0.3333 0.5822
0.0000 0.0000 0.0000
0.0000 0.0000 0.5000
0.3333 0.6667 0.6783
0.6667 0.3333 0.3217
```



(3)
A relaxed CaPm6Nd2Dy3 crystal, computed with PBE.

The calculation puts the electronic total energy at -4.46 eV/atom. The formation energy is 0.030 eV per atom. The space group is C2/m, No. 12.

Geometry as POSCAR:
```
CaPm6Nd2Dy3
1.0
3.1568 -5.4691 0.0000
3.1568 5.4691 0.0000
-2.0947 0.0000 11.8449
Ca Pm Nd Dy
1 6 2 3
Direct
0.0000 0.0000 0.0000
0.0861 0.4242 0.2560
0.2518 0.2518 0.7434
0.4242 0.0861 0.2560
0.5758 0.9139 0.7440
0.7482 0.7482 0.2566
0.9139 0.5758 0.7440
0.3330 0.6670 0.0000
0.6670 0.3330 0.0000
0.1659 0.8341 0.5000
0.5000 0.5000 0.5000
0.8341 0.1659 0.5000
```